Material: YSc2Br
Method: DFT, PBE
State: relaxed

Output
* relative energy among the computed polymorphs: 0.48 eV per formula unit
* total moment: 2.299 μB per cell
* formation energy without anion corrections: -0.31 eV per atom

a = 3.674 Å, b = 5.814 Å, c = 9.763 Å
α = 90.00°, β = 90.00°, γ = 90.00°
Space group Cmmm (No. 65)
Inequivalent atoms, fractional coordinates:
Y1 0.000 0.000 0.000 (multiplicity 2)
Sc1 0.000 0.500 0.273 (multiplicity 4)
Br1 0.000 0.000 0.500 (multiplicity 2)